! SrHgH2F8 | Alexandria via LeMat-Bulk | PBE-GGA | optimized geometry; values from VASP
! - Volume: 13.445 Å³ per atom
! - Space-group type: P-1 (2)
! - Uncorrected energy: -45.6 eV/f.u.
! - Total magnetic moment: 1.2 μB per formula unit
&SYSTEM
  ibrav = 0, nat = 12, ntyp = 4
/
ATOMIC_SPECIES
Sr 87.62 Sr.upf
Hg 200.59 Hg.upf
H 1.01 H.upf
F 19.00 F.upf
CELL_PARAMETERS angstrom
-0.4400 -4.1492 -0.6913
1.3945 -0.9830 -4.2631
7.7322 -2.1981 3.7913
ATOMIC_POSITIONS crystal
Sr 0.0000 0.0000 0.5000
Hg 0.0000 0.0000 0.0000
H 0.5294 0.5092 0.7661
H 0.4706 0.4908 0.2339
F 0.2524 0.6625 0.2474
F 0.7056 0.7339 0.0269
F 0.7947 0.2256 0.2182
F 0.7476 0.3375 0.7526
F 0.2944 0.2661 0.9731
F 0.2053 0.7744 0.7818
F 0.6044 0.7137 0.5046
F 0.3956 0.2863 0.4954